# HfAgPdPt

Crystalline HfAgPdPt at its relaxed geometry (PBE-GGA, Alexandria via LeMat-Bulk).

a = 4.6033 Å, b = 4.6033 Å, c = 4.6033 Å
α = 60.00°, β = 60.00°, γ = 60.00°
Atoms (fractional coordinates):
Hf (0.0000, 0.0000, 0.0000)
Ag (0.5000, 0.5000, 0.5000)
Pd (0.2500, 0.2500, 0.2500)
Pt (0.7500, 0.7500, 0.7500)

Values from the calculation:
Final energy, eV/atom: -6.6366
N(E_F), states/eV per cell: 3.02

---

# Ti6NbZn

Crystalline Ti6NbZn at its relaxed geometry (PBE-GGA, Alexandria via LeMat-Bulk).

a = 6.1026 Å, b = 6.1026 Å, c = 3.6245 Å
α = 90.00°, β = 90.00°, γ = 90.00°
Atoms (fractional coordinates):
Ti (0.0000, 0.5000, 0.0000)
Ti (0.2471, 0.2471, 0.5000)
Ti (0.2471, 0.7529, 0.5000)
Ti (0.5000, 0.0000, 0.0000)
Ti (0.7529, 0.2471, 0.5000)
Ti (0.7529, 0.7529, 0.5000)
Nb (0.5000, 0.5000, 0.0000)
Zn (0.0000, 0.0000, 0.0000)

Values from the calculation:
Final energy, eV/atom: -7.3564
N(E_F), states/eV per cell: 13.46

---

# Hg12Sb5Au3

Crystalline Hg12Sb5Au3 at its relaxed geometry (PBE-GGA, Alexandria via LeMat-Bulk).

a = 14.5341 Å, b = 14.5341 Å, c = 14.5341 Å
α = 109.47°, β = 109.47°, γ = 109.47°
Atoms (fractional coordinates):
Hg (0.0663, 0.2380, 0.1356)
Hg (0.0663, 0.3283, 0.9307)
Hg (0.0693, 0.6356, 0.3976)
Hg (0.0693, 0.9337, 0.6717)
Hg (0.1024, 0.7380, 0.6717)
Hg (0.1024, 0.8644, 0.4307)
Hg (0.1356, 0.0663, 0.2380)
Hg (0.1356, 0.5693, 0.8976)
Hg (0.1717, 0.2380, 0.6024)
Hg (0.1717, 0.4337, 0.5693)
Hg (0.2380, 0.1356, 0.0663)
Hg (0.2380, 0.6024, 0.1717)
Hg (0.2620, 0.3283, 0.8976)
Hg (0.2620, 0.4337, 0.3644)
Hg (0.3283, 0.8976, 0.2620)
Hg (0.3283, 0.9307, 0.0663)
Hg (0.3644, 0.2620, 0.4337)
Hg (0.3644, 0.6024, 0.9307)
Hg (0.3976, 0.0693, 0.6356)
Hg (0.3976, 0.8283, 0.7620)
Hg (0.4307, 0.1024, 0.8644)
Hg (0.4307, 0.8283, 0.5663)
Hg (0.4337, 0.3644, 0.2620)
Hg (0.4337, 0.5693, 0.1717)
Hg (0.5663, 0.4307, 0.8283)
Hg (0.5663, 0.6356, 0.7380)
Hg (0.5693, 0.1717, 0.4337)
Hg (0.5693, 0.8976, 0.1356)
Hg (0.6024, 0.1717, 0.2380)
Hg (0.6024, 0.9307, 0.3644)
Hg (0.6356, 0.3976, 0.0693)
Hg (0.6356, 0.7380, 0.5663)
Hg (0.6717, 0.0693, 0.9337)
Hg (0.6717, 0.1024, 0.7380)
Hg (0.7380, 0.5663, 0.6356)
Hg (0.7380, 0.6717, 0.1024)
Hg (0.7620, 0.3976, 0.8283)
Hg (0.7620, 0.8644, 0.9337)
Hg (0.8283, 0.5663, 0.4307)
Hg (0.8283, 0.7620, 0.3976)
Hg (0.8644, 0.4307, 0.1024)
Hg (0.8644, 0.9337, 0.7620)
Hg (0.8976, 0.1356, 0.5693)
Hg (0.8976, 0.2620, 0.3283)
Hg (0.9307, 0.0663, 0.3283)
Hg (0.9307, 0.3644, 0.6024)
Hg (0.9337, 0.6717, 0.0693)
Hg (0.9337, 0.7620, 0.8644)
Sb (0.0000, 0.0000, 0.0000)
Sb (0.0000, 0.0000, 0.5000)
Sb (0.0000, 0.5000, 0.0000)
Sb (0.0000, 0.5000, 0.5000)
Sb (0.1250, 0.7500, 0.8750)
Sb (0.1250, 0.8750, 0.2500)
Sb (0.2500, 0.1250, 0.8750)
Sb (0.2500, 0.6250, 0.3750)
Sb (0.3750, 0.2500, 0.6250)
Sb (0.3750, 0.6250, 0.7500)
Sb (0.5000, 0.0000, 0.0000)
Sb (0.5000, 0.0000, 0.5000)
Sb (0.5000, 0.5000, 0.0000)
Sb (0.5000, 0.5000, 0.5000)
Sb (0.6250, 0.3750, 0.2500)
Sb (0.6250, 0.7500, 0.3750)
Sb (0.7500, 0.3750, 0.6250)
Sb (0.7500, 0.8750, 0.1250)
Sb (0.8750, 0.1250, 0.7500)
Sb (0.8750, 0.2500, 0.1250)
Au (0.1250, 0.2500, 0.3750)
Au (0.1250, 0.3750, 0.7500)
Au (0.2500, 0.3750, 0.1250)
Au (0.2500, 0.8750, 0.6250)
Au (0.3750, 0.1250, 0.2500)
Au (0.3750, 0.7500, 0.1250)
Au (0.6250, 0.2500, 0.8750)
Au (0.6250, 0.8750, 0.7500)
Au (0.7500, 0.1250, 0.3750)
Au (0.7500, 0.6250, 0.8750)
Au (0.8750, 0.6250, 0.2500)
Au (0.8750, 0.7500, 0.6250)

Values from the calculation:
Formation energy from raw total energies, meV/atom: 157
N(E_F), states/eV per cell: 58.97

---

# GaBiTe

Crystalline GaBiTe at its relaxed geometry (PBE-GGA, Alexandria via LeMat-Bulk).

a = 6.9990 Å, b = 4.2296 Å, c = 7.8735 Å
α = 90.00°, β = 106.73°, γ = 90.00°
Atoms (fractional coordinates):
Ga (0.0000, 0.0000, 0.0000)
Ga (0.4574, 0.5000, 0.0182)
Bi (0.2697, 0.5000, 0.6540)
Bi (0.9570, 0.0000, 0.6404)
Te (0.3811, 0.0000, 0.2088)
Te (0.8613, 0.5000, 0.1481)

Values from the calculation:
Formation energy from raw total energies, meV/atom: -206

---

# Ti8Ni2Pt

Crystalline Ti8Ni2Pt at its relaxed geometry (PBE-GGA, Alexandria via LeMat-Bulk).

a = 6.9297 Å, b = 6.9297 Å, c = 4.5303 Å
α = 100.82°, β = 100.82°, γ = 118.17°
Atoms (fractional coordinates):
Ti (0.0966, 0.3286, 0.5939)
Ti (0.2215, 0.7785, 0.0000)
Ti (0.3286, 0.0966, 0.5939)
Ti (0.3947, 0.3947, 0.1914)
Ti (0.6053, 0.6053, 0.8086)
Ti (0.6714, 0.9034, 0.4061)
Ti (0.7785, 0.2215, 0.0000)
Ti (0.9034, 0.6714, 0.4061)
Ni (0.3017, 0.6983, 0.5000)
Ni (0.6983, 0.3017, 0.5000)
Pt (0.0000, 0.0000, 0.0000)

Values from the calculation:
Final energy, eV/atom: -7.5570
N(E_F), states/eV per cell: 14.30

---

# MgZr2HPb

Crystalline MgZr2HPb at its relaxed geometry (PBE-GGA, Alexandria via LeMat-Bulk).

a = 4.3763 Å, b = 4.3763 Å, c = 4.7414 Å
α = 90.00°, β = 90.00°, γ = 90.00°
Atoms (fractional coordinates):
Mg (0.0000, 0.0000, 0.0000)
Zr (0.0000, 0.5000, 0.5000)
Zr (0.5000, 0.0000, 0.5000)
H (0.0000, 0.0000, 0.5000)
Pb (0.5000, 0.5000, 0.0000)

Values from the calculation:
Final energy, eV/atom: -5.3724
N(E_F), states/eV per cell: 2.07